1.
A plane-wave DFT calculation with PBE-GGA was carried out for a relaxed NaMg6Tl5 crystal.

abc: 4.9477 8.0667 15.0642
angles: 90.00 90.00 90.00
Space group Immm (No. 71)
One atom of each set of equivalent atoms:
Na1 0.0000 0.0000 0.0000 (multiplicity 2)
Mg1 0.0000 0.2191 0.5000 (multiplicity 4)
Mg2 0.0000 0.2666 0.1723 (multiplicity 8)
Tl1 0.0000 0.0000 0.3219 (multiplicity 4)
Tl2 0.0000 0.5000 0.0000 (multiplicity 2)
Tl3 0.0000 0.5000 0.3527 (multiplicity 4)

For the formation energy, the calculation gives -35 meV per atom. As for the total energy: -23.14 eV per formula unit. Its density of states at the Fermi level is 6.70 states/eV per cell.

***

2.
A plane-wave DFT calculation with PBE-GGA was carried out for a relaxed NaRhSe3 crystal.

abc: 4.9809 4.9809 4.9809
angles: 90.00 90.00 90.00
Space group Pm-3m (No. 221)
One atom of each set of equivalent atoms:
Na1 0.0000 0.0000 0.0000 (multiplicity 1)
Rh1 0.5000 0.5000 0.5000 (multiplicity 1)
Se1 0.0000 0.5000 0.5000 (multiplicity 3)

The calculation puts the energy above the lowest structure with this stoichiometry at 0 meV per atom. As for the energy relative to the elements, uncorrected: -0.06 eV per atom. As for the total energy: -19.45 eV per formula unit. Its density of states at the Fermi level is 7.09 states/eV per cell.

***

3.
A plane-wave DFT calculation with PBE-GGA was carried out for a relaxed Ba2CrRe crystal.

abc: 10.0321 3.1548 7.4536
angles: 90.00 94.41 90.00
Space group C2/m (No. 12)
One atom of each set of equivalent atoms:
Ba1 0.2423 0.0000 0.2352 (multiplicity 4)
Cr1 0.0000 0.0000 0.5000 (multiplicity 2)
Re1 0.0000 0.5000 0.0000 (multiplicity 2)

For the formation energy, the calculation gives 1493 meV per atom. The calculation puts the energy above the lowest structure with this stoichiometry at 948 meV per atom. As for the total energy: -19.94 eV per formula unit. Its density of states at the Fermi level is 7.88 states/eV per cell.

***

4.
A plane-wave DFT calculation with PBE-GGA was carried out for a relaxed KS2I2 crystal.

abc: 5.7549 5.7549 11.9675
angles: 90.00 90.00 90.00
Space group I4/mmm (No. 139)
One atom of each set of equivalent atoms:
K1 0.0000 0.0000 0.0000 (multiplicity 2)
S1 0.0000 0.5000 0.2500 (multiplicity 4)
I1 0.0000 0.0000 0.2745 (multiplicity 4)

The calculation puts the energy above the lowest structure with this stoichiometry at 257 meV per atom. As for the energy relative to the elements, uncorrected: -0.06 eV per atom. As for the total energy: -12.77 eV per formula unit. Its density of states at the Fermi level is 3.30 states/eV per cell.

***

5.
A plane-wave DFT calculation with PBE-GGA was carried out for a relaxed LaPm2Pr6 crystal.

abc: 8.3648 8.3648 10.6692
angles: 90.00 90.00 90.00
Space group P4_2/mnm (No. 136)
One atom of each set of equivalent atoms:
La1 0.0000 0.0000 0.0000 (multiplicity 2)
Pm1 0.0000 0.0000 0.3317 (multiplicity 4)
Pr1 0.2375 0.2375 0.5000 (multiplicity 4)
Pr2 0.2376 0.2376 0.1668 (multiplicity 8)

For the formation energy, the calculation gives 576 meV per atom. The calculation puts the energy above the lowest structure with this stoichiometry at 529 meV per atom. As for the total energy: -37.92 eV per formula unit. Its density of states at the Fermi level is 29.44 states/eV per cell.

***

6.
A plane-wave DFT calculation with PBE-GGA was carried out for a relaxed Sb2TeBrF crystal.

abc: 5.5515 5.5515 4.5189
angles: 90.00 90.00 90.00
Space group P4/mmm (No. 123)
One atom of each set of equivalent atoms:
Sb1 0.0000 0.5000 0.0000 (multiplicity 2)
Te1 0.0000 0.0000 0.5000 (multiplicity 1)
Br1 0.5000 0.5000 0.0000 (multiplicity 1)
F1 0.5000 0.5000 0.5000 (multiplicity 1)

The calculation puts the energy above the lowest structure with this stoichiometry at 83 meV per atom. As for the energy relative to the elements, uncorrected: 0.18 eV per atom. As for the total energy: -14.05 eV per formula unit. Its density of states at the Fermi level is 4.17 states/eV per cell.

***

7.
A plane-wave DFT calculation with PBE-GGA was carried out for a relaxed Cs2CaThTe4 crystal.

abc: 8.0839 4.7121 9.3188
angles: 90.00 106.95 90.00
Space group P2/m (No. 10)
One atom of each set of equivalent atoms:
Cs1 0.0000 0.0000 0.0000 (multiplicity 1)
Cs2 0.5000 0.5000 0.0000 (multiplicity 1)
Ca1 0.0000 0.5000 0.5000 (multiplicity 1)
Th1 0.5000 0.0000 0.5000 (multiplicity 1)
Te1 0.2405 0.0000 0.6915 (multiplicity 2)
Te2 0.2765 0.5000 0.3066 (multiplicity 2)

As for the energy relative to the elements, uncorrected: -1.34 eV per atom. As for the total energy: -34.44 eV per formula unit.

***

8.
A plane-wave DFT calculation with PBE-GGA was carried out for a relaxed YMg2Cd crystal.

abc: 3.3583 3.3583 31.3127
angles: 90.00 90.00 120.00
Space group R3m (No. 160, hexagonal axes)
One atom of each set of equivalent atoms:
Y1 0.0000 0.0000 0.0000 (multiplicity 3)
Mg1 0.0000 0.0000 0.2447 (multiplicity 3)
Mg2 0.0000 0.0000 0.4236 (multiplicity 3)
Cd1 0.0000 0.0000 0.8342 (multiplicity 3)

For the formation energy, the calculation gives -7 meV per atom. As for the total energy: -10.60 eV per formula unit. Its density of states at the Fermi level is 9.56 states/eV per cell.